*a*
An optimized crystal structure of Er4BiTe2, computed with PBE.

Computed properties:
crystal system	orthorhombic
space-group type	No. 63
total magnetic moment	0.00	μB/f.u.

Structure (extended XYZ):
```
14
Lattice="-2.2758 -2.6135 -2.3310 0.3688 -2.8248 6.5487 -12.2258 7.2446 3.8134" Properties=species:S:1:pos:R:3 pbc="T T T"
Er -8.0697 2.8210 4.7155
Er -6.0631 -1.0147 3.3156
Er -3.2062 -2.7076 2.4245
Er -10.9266 4.5139 5.6066
Er -10.9461 0.6945 6.1665
Er -3.1867 1.1117 1.8647
Er -1.1379 -1.3068 -1.1655
Er -7.2508 2.3155 0.7412
Bi -3.6935 -1.6107 5.4119
Bi -10.4393 3.4170 2.6193
Te -13.1947 2.5761 6.2520
Te -0.9381 -0.7699 1.7791
Te -8.5135 -0.1978 4.7919
Te -5.6193 2.0040 3.2392
```

*b*
An optimized crystal structure of Er4BiTe2, computed with PBE.

Computed properties:
crystal system	tetragonal
space-group type	No. 98
total magnetic moment	0.00	μB/f.u.

Structure (extended XYZ):
```
14
Lattice="-3.3179 3.3228 -6.7416 5.4834 -5.7750 -2.0181 -5.9674 -3.4415 4.4789" Properties=species:S:1:pos:R:3 pbc="T T T"
Er -4.1549 0.6044 -5.5511
Er 0.0404 -2.5177 -2.4175
Er -3.2407 -2.8628 -4.3539
Er -6.2311 0.3030 -2.2614
Er -2.7785 -0.7339 -1.1174
Er -4.6489 -2.4628 1.3988
Er -2.6985 -4.5607 -1.2499
Er -0.2966 -2.2466 -6.2949
Bi 0.2991 -5.2208 -0.9580
Bi -3.3180 3.3228 -6.7415
Te -4.9961 -2.6761 -1.7342
Te 1.7360 -3.8306 -4.7376
Te -1.4817 -0.4456 -3.9849
Te -2.8614 -4.8350 1.8940
```

*a* (0.015 eV/atom below the next structure)

*a*
An optimized crystal structure of Er2BiTe, computed with PBE.

Computed properties:
crystal system	trigonal
space-group type	No. 160
total magnetic moment	0.00	μB/f.u.

Structure (extended XYZ):
```
4
Lattice="-4.1820 0.2404 0.9213 -2.9055 -1.3438 -2.8545 -2.0995 -7.3341 2.3674" Properties=species:S:1:pos:R:3 pbc="T T T"
Er -2.1625 -5.6656 1.6460
Er -2.2993 -2.0429 0.0798
Bi -6.8258 -8.0372 1.0646
Te -4.5926 -4.2445 0.2283
```

*b*
An optimized crystal structure of Er2BiTe, computed with PBE.

Computed properties:
crystal system	trigonal
space-group type	No. 166
total magnetic moment	0.00	μB/f.u.

Structure (extended XYZ):
```
4
Lattice="-3.7211 -2.3213 -0.2812 -0.9285 -3.0395 3.0353 -4.9160 3.1364 4.8184" Properties=species:S:1:pos:R:3 pbc="T T T"
Te -4.7828 -1.1122 3.7863
Bi 0.0000 0.0000 0.0000
Er -7.1759 -1.6657 5.6814
Er -2.3897 -0.5586 1.8911
```

*b* (0.052 eV/atom below the next structure)

*a*
An optimized crystal structure of Er5Bi4Te, computed with PBE.

Computed properties:
crystal system	orthorhombic
space-group type	No. 71
total magnetic moment	0.00	μB/f.u.

Structure (extended XYZ):
```
10
Lattice="4.3430 0.0000 -0.8379 -0.3222 6.0159 -1.6699 0.0058 0.0010 11.7045" Properties=species:S:1:pos:R:3 pbc="T T T"
Er 2.5781 0.6069 1.6888
Er 3.3806 1.8044 5.8483
Er 0.6460 4.2124 3.3485
Er -0.1611 3.0079 -0.8350
Er 1.4485 5.4100 7.5079
Bi 1.6156 2.4111 8.3741
Bi 3.2227 4.8172 5.0300
Bi 0.8039 1.1997 4.1667
Bi 2.4110 3.6058 0.8226
Te 0.0000 0.0000 0.0000
```

*b*
An optimized crystal structure of Er5Bi4Te, computed with PBE.

Computed properties:
crystal system	tetragonal
space-group type	No. 87
total magnetic moment	0.00	μB/f.u.

Structure (extended XYZ):
```
10
Lattice="-5.5091 2.2129 1.9707 -5.2920 0.5692 -5.5048 -4.8812 -5.4088 2.3561" Properties=species:S:1:pos:R:3 pbc="T T T"
Er -10.9887 -2.1003 1.4422
Er -8.8127 -2.1085 -2.3936
Er -6.8798 -0.5141 1.2194
Er -4.7038 -0.5223 -2.6164
Er -2.7620 1.1094 0.9880
Bi -8.2320 -3.2204 0.4791
Bi -11.5796 -1.0223 -1.4194
Bi -4.1133 -1.6001 0.2453
Bi -7.4610 0.5980 -1.6532
Te -0.0074 0.0030 0.0027
```

*b* (0.006 eV/atom below the next structure)

*a*
An optimized crystal structure of Er3Bi2Te, computed with PBE.

Computed properties:
crystal system	orthorhombic
space-group type	No. 63
total magnetic moment	0.00	μB/f.u.

Structure (extended XYZ):
```
12
Lattice="4.3326 0.0000 0.0000 -2.1663 7.8544 0.0000 0.0000 0.0000 10.2001" Properties=species:S:1:pos:R:3 pbc="T T T"
Er 2.1663 2.5502 0.3875
Er 0.0000 2.2413 7.6501
Er 2.1663 2.5502 4.7125
Er 2.1663 5.6132 2.5500
Er 0.0000 5.3042 9.8126
Er 0.0000 5.3042 5.4876
Bi 0.0000 0.0000 0.0000
Bi 0.0000 0.0000 5.1001
Bi 2.1663 0.0284 2.5500
Bi 0.0000 7.8260 7.6501
Te 0.0000 3.4931 2.5500
Te 2.1663 4.3613 7.6501
```

*b*
An optimized crystal structure of Er3Bi2Te, computed with PBE.

Computed properties:
crystal system	orthorhombic
space-group type	No. 63
total magnetic moment	0.00	μB/f.u.

Structure (extended XYZ):
```
12
Lattice="-1.9547 -4.9816 -3.1949 9.0786 -1.2616 -3.5873 -5.9256 -2.4617 7.4638" Properties=species:S:1:pos:R:3 pbc="T T T"
Er 2.9241 -7.5397 -2.1061
Er 2.3243 -3.1865 -2.4477
Er -2.0760 -7.9396 1.5767
Er -2.6758 -3.5864 1.2350
Er 1.4030 -5.2504 1.3346
Er -1.1545 -5.8753 -2.2055
Bi 3.8895 -5.0492 -0.5009
Bi 1.3361 -5.6788 -4.0361
Bi -1.0878 -5.4473 3.1650
Bi -3.6412 -6.0769 -0.3701
Te 0.4224 -7.7377 -0.2667
Te -0.1741 -3.3884 -0.6043
```

*b* (0.304 eV/atom below the next structure)